VASP calculation (PBE-GGA) on ScZnInIr after structural relaxation.

```
data_ScZnInIr
_chemical_formula_sum 'Sc4 Zn4 In4 Ir4'
_space_group_name_H-M_alt 'F -4 3 m'
_space_group_IT_number 216
_space_group_name_Hall 'F -4 2 3'
_cell_length_a 6.551
_cell_length_b 6.551
_cell_length_c 6.551
_cell_angle_alpha 90.00
_cell_angle_beta 90.00
_cell_angle_gamma 90.00
loop_
_atom_site_label
_atom_site_fract_x
_atom_site_fract_y
_atom_site_fract_z
Sc1 0.000 0.000 0.000
Zn1 0.250 0.250 0.250
In1 0.000 0.000 0.500
Ir1 0.250 0.250 0.750
```

Properties
The value obtained for the density is 9.86 Mg/m³. For the volume, the calculation gives 70.3 Å³/f.u. The calculation puts the total energy at -5.2302 eV per atom. Its magnetic moment is 0.000 μB/atom.